# 1
# MoOsI2N, relaxed, DFT PBE-GGA
data_MoOsI2N
_cell_length_a 5.591
_cell_length_b 5.591
_cell_length_c 3.737
_cell_angle_alpha 90.00
_cell_angle_beta 90.00
_cell_angle_gamma 90.00
_space_group_name_H-M_alt 'P 4/m m m'
_space_group_IT_number 123
_space_group_name_Hall '-P 4 2'
loop_
_atom_site_label
_atom_site_type_symbol
_atom_site_fract_x
_atom_site_fract_y
_atom_site_fract_z
Mo1 Mo 0.000 0.000 0.000
Os1 Os 0.500 0.500 0.500
I1 I 0.000 0.500 0.500
N1 N 0.500 0.500 0.000
# **Raw total energy**: -0.4131 Ry/atom
# **Density of states at the Fermi level**: 0.70 states/eV per atom
# **Energy above the lowest structure with this stoichiometry**: 0.000 eV per formula unit
# **M_tot**: 4.50 μB per formula unit
# **Raw formation energy**: 1077 meV/atom


# 2
# MoOsI2N, relaxed, DFT PBE-GGA
data_MoOsI2N
_cell_length_a 5.523
_cell_length_b 5.523
_cell_length_c 3.787
_cell_angle_alpha 90.00
_cell_angle_beta 90.00
_cell_angle_gamma 90.00
_space_group_name_H-M_alt 'P 4/m m m'
_space_group_IT_number 123
_space_group_name_Hall '-P 4 2'
loop_
_atom_site_label
_atom_site_type_symbol
_atom_site_fract_x
_atom_site_fract_y
_atom_site_fract_z
Mo1 Mo 0.000 0.000 0.000
Os1 Os 0.500 0.500 0.500
I1 I 0.000 0.500 0.000
N1 N 0.000 0.000 0.500
# **Raw total energy**: -0.3880 Ry/atom
# **Density of states at the Fermi level**: 1.07 states/eV per atom
# **Energy above the lowest structure with this stoichiometry**: 1.706 eV per formula unit
# **M_tot**: 2.93 μB per formula unit
# **Raw formation energy**: 1418 meV/atom


# 3
# MoPIN2, relaxed, DFT PBE-GGA
data_MoPIN2
_cell_length_a 3.946
_cell_length_b 3.946
_cell_length_c 5.846
_cell_angle_alpha 90.00
_cell_angle_beta 90.00
_cell_angle_gamma 90.00
_space_group_name_H-M_alt 'P 4/m m m'
_space_group_IT_number 123
_space_group_name_Hall '-P 4 2'
loop_
_atom_site_label
_atom_site_type_symbol
_atom_site_fract_x
_atom_site_fract_y
_atom_site_fract_z
Mo1 Mo 0.000 0.000 0.000
P1 P 0.500 0.500 0.500
I1 I 0.000 0.000 0.500
N1 N 0.000 0.500 0.000
# **Raw total energy**: -0.4342 Ry/atom
# **Density of states at the Fermi level**: 0.51 states/eV per atom
# **Energy above the lowest structure with this stoichiometry**: 0.000 eV per formula unit
# **M_tot**: 1.07 μB per formula unit
# **Raw formation energy**: 980 meV/atom


# 4
# MoPI2N, relaxed, DFT PBE-GGA
data_MoPI2N
_cell_length_a 6.537
_cell_length_b 6.537
_cell_length_c 3.274
_cell_angle_alpha 90.00
_cell_angle_beta 90.00
_cell_angle_gamma 90.00
_space_group_name_H-M_alt 'P 4/m m m'
_space_group_IT_number 123
_space_group_name_Hall '-P 4 2'
loop_
_atom_site_label
_atom_site_type_symbol
_atom_site_fract_x
_atom_site_fract_y
_atom_site_fract_z
Mo1 Mo 0.000 0.000 0.000
P1 P 0.500 0.500 0.000
I1 I 0.000 0.500 0.500
N1 N 0.500 0.500 0.500
# **Raw total energy**: -0.3051 Ry/atom
# **Density of states at the Fermi level**: 0.62 states/eV per atom
# **Energy above the lowest structure with this stoichiometry**: 3.099 eV per formula unit
# **M_tot**: 4.20 μB per formula unit
# **Raw formation energy**: 1382 meV/atom


# 5
# MoPI2N, relaxed, DFT PBE-GGA
data_MoPI2N
_cell_length_a 5.726
_cell_length_b 5.726
_cell_length_c 3.387
_cell_angle_alpha 90.00
_cell_angle_beta 90.00
_cell_angle_gamma 90.00
_space_group_name_H-M_alt 'P 4/m m m'
_space_group_IT_number 123
_space_group_name_Hall '-P 4 2'
loop_
_atom_site_label
_atom_site_type_symbol
_atom_site_fract_x
_atom_site_fract_y
_atom_site_fract_z
Mo1 Mo 0.000 0.000 0.000
P1 P 0.500 0.500 0.500
I1 I 0.000 0.500 0.500
N1 N 0.500 0.500 0.000
# **Raw total energy**: -0.3252 Ry/atom
# **Density of states at the Fermi level**: 0.58 states/eV per atom
# **Energy above the lowest structure with this stoichiometry**: 1.731 eV per formula unit
# **M_tot**: 3.59 μB per formula unit
# **Raw formation energy**: 1108 meV/atom


# 6
# MoPI2N, relaxed, DFT PBE-GGA
data_MoPI2N
_cell_length_a 5.520
_cell_length_b 5.520
_cell_length_c 3.807
_cell_angle_alpha 90.00
_cell_angle_beta 90.00
_cell_angle_gamma 90.00
_space_group_name_H-M_alt 'P 4/m m m'
_space_group_IT_number 123
_space_group_name_Hall '-P 4 2'
loop_
_atom_site_label
_atom_site_type_symbol
_atom_site_fract_x
_atom_site_fract_y
_atom_site_fract_z
Mo1 Mo 0.000 0.000 0.000
P1 P 0.500 0.500 0.500
I1 I 0.000 0.500 0.000
N1 N 0.000 0.000 0.500
# **Raw total energy**: -0.3507 Ry/atom
# **Density of states at the Fermi level**: 1.07 states/eV per atom
# **Energy above the lowest structure with this stoichiometry**: 0.000 eV per formula unit
# **M_tot**: 0.00 μB per formula unit
# **Raw formation energy**: 762 meV/atom


# 7
# MoPIN2, relaxed, DFT PBE-GGA
data_MoPIN2
_cell_length_a 3.683
_cell_length_b 3.683
_cell_length_c 6.825
_cell_angle_alpha 90.00
_cell_angle_beta 90.00
_cell_angle_gamma 90.00
_space_group_name_H-M_alt 'P 4/m m m'
_space_group_IT_number 123
_space_group_name_Hall '-P 4 2'
loop_
_atom_site_label
_atom_site_type_symbol
_atom_site_fract_x
_atom_site_fract_y
_atom_site_fract_z
Mo1 Mo 0.000 0.000 0.000
P1 P 0.500 0.500 0.500
I1 I 0.500 0.500 0.000
N1 N 0.000 0.500 0.500
# **Raw total energy**: -0.3815 Ry/atom
# **Density of states at the Fermi level**: 0.57 states/eV per atom
# **Energy above the lowest structure with this stoichiometry**: 3.585 eV per formula unit
# **M_tot**: 4.11 μB per formula unit
# **Raw formation energy**: 1697 meV/atom


# 8
# MoPdIN2, relaxed, DFT PBE-GGA
data_MoPdIN2
_cell_length_a 3.901
_cell_length_b 3.901
_cell_length_c 5.944
_cell_angle_alpha 90.00
_cell_angle_beta 90.00
_cell_angle_gamma 90.00
_space_group_name_H-M_alt 'P 4/m m m'
_space_group_IT_number 123
_space_group_name_Hall '-P 4 2'
loop_
_atom_site_label
_atom_site_type_symbol
_atom_site_fract_x
_atom_site_fract_y
_atom_site_fract_z
Mo1 Mo 0.000 0.000 0.000
Pd1 Pd 0.500 0.500 0.500
I1 I 0.000 0.000 0.500
N1 N 0.000 0.500 0.000
# **Raw total energy**: -0.4583 Ry/atom
# **Density of states at the Fermi level**: 0.67 states/eV per atom
# **Energy above the lowest structure with this stoichiometry**: 0.000 eV per formula unit
# **M_tot**: 0.08 μB per formula unit
# **Raw formation energy**: 609 meV/atom


# 9
# MoPdIN2, relaxed, DFT PBE-GGA
data_MoPdIN2
_cell_length_a 4.061
_cell_length_b 4.061
_cell_length_c 6.034
_cell_angle_alpha 90.00
_cell_angle_beta 90.00
_cell_angle_gamma 90.00
_space_group_name_H-M_alt 'P 4/m m m'
_space_group_IT_number 123
_space_group_name_Hall '-P 4 2'
loop_
_atom_site_label
_atom_site_type_symbol
_atom_site_fract_x
_atom_site_fract_y
_atom_site_fract_z
Mo1 Mo 0.000 0.000 0.000
Pd1 Pd 0.500 0.500 0.500
I1 I 0.500 0.500 0.000
N1 N 0.000 0.500 0.500
# **Raw total energy**: -0.3639 Ry/atom
# **Density of states at the Fermi level**: 0.48 states/eV per atom
# **Energy above the lowest structure with this stoichiometry**: 6.425 eV per formula unit
# **M_tot**: 0.56 μB per formula unit
# **Raw formation energy**: 1894 meV/atom


# 10
# MoPtI2N, relaxed, DFT PBE-GGA
data_MoPtI2N
_cell_length_a 5.784
_cell_length_b 5.784
_cell_length_c 3.733
_cell_angle_alpha 90.00
_cell_angle_beta 90.00
_cell_angle_gamma 90.00
_space_group_name_H-M_alt 'P 4/m m m'
_space_group_IT_number 123
_space_group_name_Hall '-P 4 2'
loop_
_atom_site_label
_atom_site_type_symbol
_atom_site_fract_x
_atom_site_fract_y
_atom_site_fract_z
Mo1 Mo 0.000 0.000 0.000
Pt1 Pt 0.500 0.500 0.500
I1 I 0.000 0.500 0.500
N1 N 0.500 0.500 0.000
# **Raw total energy**: -0.3367 Ry/atom
# **Density of states at the Fermi level**: 0.52 states/eV per atom
# **Energy above the lowest structure with this stoichiometry**: 1.669 eV per formula unit
# **M_tot**: 4.69 μB per formula unit
# **Raw formation energy**: 1078 meV/atom


# 11
# MoPtI2N, relaxed, DFT PBE-GGA
data_MoPtI2N
_cell_length_a 5.471
_cell_length_b 5.471
_cell_length_c 3.776
_cell_angle_alpha 90.00
_cell_angle_beta 90.00
_cell_angle_gamma 90.00
_space_group_name_H-M_alt 'P 4/m m m'
_space_group_IT_number 123
_space_group_name_Hall '-P 4 2'
loop_
_atom_site_label
_atom_site_type_symbol
_atom_site_fract_x
_atom_site_fract_y
_atom_site_fract_z
Mo1 Mo 0.000 0.000 0.000
Pt1 Pt 0.500 0.500 0.500
I1 I 0.000 0.500 0.000
N1 N 0.000 0.000 0.500
# **Raw total energy**: -0.3613 Ry/atom
# **Density of states at the Fermi level**: 0.90 states/eV per atom
# **Energy above the lowest structure with this stoichiometry**: 0.000 eV per formula unit
# **M_tot**: 0.00 μB per formula unit
# **Raw formation energy**: 744 meV/atom


# 12
# RbMoIN2, relaxed, DFT PBE-GGA
data_RbMoIN2
_cell_length_a 4.214
_cell_length_b 4.214
_cell_length_c 5.708
_cell_angle_alpha 90.00
_cell_angle_beta 90.00
_cell_angle_gamma 90.00
_space_group_name_H-M_alt 'P 4/m m m'
_space_group_IT_number 123
_space_group_name_Hall '-P 4 2'
loop_
_atom_site_label
_atom_site_type_symbol
_atom_site_fract_x
_atom_site_fract_y
_atom_site_fract_z
Rb1 Rb 0.000 0.000 0.000
Mo1 Mo 0.500 0.500 0.500
I1 I 0.500 0.500 0.000
N1 N 0.000 0.500 0.500
# **Raw total energy**: -0.4077 Ry/atom
# **Density of states at the Fermi level**: 0.78 states/eV per atom
# **Energy above the lowest structure with this stoichiometry**: 0.000 eV per formula unit
# **M_tot**: 0.07 μB per formula unit
# **Raw formation energy**: 453 meV/atom


# 13
# Rb2MoI6N, relaxed, DFT PBE-GGA
data_Rb2MoI6N
_cell_length_a 9.024
_cell_length_b 9.024
_cell_length_c 10.091
_cell_angle_alpha 90.00
_cell_angle_beta 90.00
_cell_angle_gamma 90.00
_space_group_name_H-M_alt 'I 4/m m m'
_space_group_IT_number 139
_space_group_name_Hall '-I 4 2'
loop_
_atom_site_label
_atom_site_type_symbol
_atom_site_fract_x
_atom_site_fract_y
_atom_site_fract_z
Rb1 Rb 0.000 0.500 0.250
Mo1 Mo 0.000 0.000 0.000
I1 I 0.000 0.000 0.281
I2 I 0.220 0.220 0.000
N1 N 0.000 0.000 0.500
# **Raw total energy**: -0.2368 Ry/atom
# **Density of states at the Fermi level**: 0.13 states/eV per atom
# **M_tot**: 1.00 μB per formula unit
# **Raw formation energy**: -183 meV/atom


# 14
# RbMoIN2, relaxed, DFT PBE-GGA
data_RbMoIN2
_cell_length_a 4.296
_cell_length_b 4.296
_cell_length_c 6.227
_cell_angle_alpha 90.00
_cell_angle_beta 90.00
_cell_angle_gamma 90.00
_space_group_name_H-M_alt 'P 4/m m m'
_space_group_IT_number 123
_space_group_name_Hall '-P 4 2'
loop_
_atom_site_label
_atom_site_type_symbol
_atom_site_fract_x
_atom_site_fract_y
_atom_site_fract_z
Rb1 Rb 0.000 0.000 0.000
Mo1 Mo 0.500 0.500 0.500
I1 I 0.000 0.000 0.500
N1 N 0.000 0.500 0.000
# **Raw total energy**: -0.2102 Ry/atom
# **Density of states at the Fermi level**: 1.73 states/eV per atom
# **Energy above the lowest structure with this stoichiometry**: 13.435 eV per formula unit
# **M_tot**: 0.83 μB per formula unit
# **Raw formation energy**: 3140 meV/atom


# 15
# ReMoIN2, relaxed, DFT PBE-GGA
data_ReMoIN2
_cell_length_a 3.950
_cell_length_b 3.950
_cell_length_c 5.800
_cell_angle_alpha 90.00
_cell_angle_beta 90.00
_cell_angle_gamma 90.00
_space_group_name_H-M_alt 'P 4/m m m'
_space_group_IT_number 123
_space_group_name_Hall '-P 4 2'
loop_
_atom_site_label
_atom_site_type_symbol
_atom_site_fract_x
_atom_site_fract_y
_atom_site_fract_z
Re1 Re 0.000 0.000 0.000
Mo1 Mo 0.500 0.500 0.500
I1 I 0.500 0.500 0.000
N1 N 0.000 0.500 0.500
# **Raw total energy**: -0.4961 Ry/atom
# **Density of states at the Fermi level**: 0.55 states/eV per atom
# **Energy above the lowest structure with this stoichiometry**: 1.558 eV per formula unit
# **M_tot**: 3.59 μB per formula unit
# **Raw formation energy**: 1547 meV/atom


# 16
# ReMoIN2, relaxed, DFT PBE-GGA
data_ReMoIN2
_cell_length_a 3.924
_cell_length_b 3.924
_cell_length_c 5.803
_cell_angle_alpha 90.00
_cell_angle_beta 90.00
_cell_angle_gamma 90.00
_space_group_name_H-M_alt 'P 4/m m m'
_space_group_IT_number 123
_space_group_name_Hall '-P 4 2'
loop_
_atom_site_label
_atom_site_type_symbol
_atom_site_fract_x
_atom_site_fract_y
_atom_site_fract_z
Re1 Re 0.000 0.000 0.000
Mo1 Mo 0.500 0.500 0.500
I1 I 0.000 0.000 0.500
N1 N 0.000 0.500 0.000
# **Raw total energy**: -0.5190 Ry/atom
# **Density of states at the Fermi level**: 0.73 states/eV per atom
# **Energy above the lowest structure with this stoichiometry**: 0.000 eV per formula unit
# **M_tot**: 3.67 μB per formula unit
# **Raw formation energy**: 1235 meV/atom


# 17
# MoRhIN2, relaxed, DFT PBE-GGA
data_MoRhIN2
_cell_length_a 3.859
_cell_length_b 3.859
_cell_length_c 7.464
_cell_angle_alpha 90.00
_cell_angle_beta 90.00
_cell_angle_gamma 90.00
_space_group_name_H-M_alt 'P 4/m m m'
_space_group_IT_number 123
_space_group_name_Hall '-P 4 2'
loop_
_atom_site_label
_atom_site_type_symbol
_atom_site_fract_x
_atom_site_fract_y
_atom_site_fract_z
Mo1 Mo 0.000 0.000 0.000
Rh1 Rh 0.500 0.500 0.500
I1 I 0.500 0.500 0.000
N1 N 0.000 0.500 0.500
# **Raw total energy**: -0.4148 Ry/atom
# **Density of states at the Fermi level**: 0.63 states/eV per atom
# **Energy above the lowest structure with this stoichiometry**: 3.951 eV per formula unit
# **M_tot**: 4.49 μB per formula unit
# **Raw formation energy**: 1633 meV/atom


# 18
# MoRhIN2, relaxed, DFT PBE-GGA
data_MoRhIN2
_cell_length_a 3.892
_cell_length_b 3.892
_cell_length_c 5.875
_cell_angle_alpha 90.00
_cell_angle_beta 90.00
_cell_angle_gamma 90.00
_space_group_name_H-M_alt 'P 4/m m m'
_space_group_IT_number 123
_space_group_name_Hall '-P 4 2'
loop_
_atom_site_label
_atom_site_type_symbol
_atom_site_fract_x
_atom_site_fract_y
_atom_site_fract_z
Mo1 Mo 0.000 0.000 0.000
Rh1 Rh 0.500 0.500 0.500
I1 I 0.000 0.000 0.500
N1 N 0.000 0.500 0.000
# **Raw total energy**: -0.4729 Ry/atom
# **Density of states at the Fermi level**: 0.84 states/eV per atom
# **Energy above the lowest structure with this stoichiometry**: 0.000 eV per formula unit
# **M_tot**: 0.80 μB per formula unit
# **Raw formation energy**: 843 meV/atom


# 19
# Mo2RuIN, relaxed, DFT PBE-GGA
data_Mo2RuIN
_cell_length_a 3.971
_cell_length_b 3.971
_cell_length_c 5.295
_cell_angle_alpha 90.00
_cell_angle_beta 90.00
_cell_angle_gamma 90.00
_space_group_name_H-M_alt 'P 4/m m m'
_space_group_IT_number 123
_space_group_name_Hall '-P 4 2'
loop_
_atom_site_label
_atom_site_type_symbol
_atom_site_fract_x
_atom_site_fract_y
_atom_site_fract_z
Mo1 Mo 0.000 0.500 0.000
Ru1 Ru 0.000 0.000 0.500
I1 I 0.500 0.500 0.500
N1 N 0.500 0.500 0.000
# **Raw total energy**: -0.5334 Ry/atom
# **Density of states at the Fermi level**: 1.19 states/eV per atom
# **M_tot**: 0.00 μB per formula unit
# **Raw formation energy**: 905 meV/atom


# 20
# MoS2IN, relaxed, DFT PBE-GGA
data_MoS2IN
_cell_length_a 4.921
_cell_length_b 4.921
_cell_length_c 3.858
_cell_angle_alpha 90.00
_cell_angle_beta 90.00
_cell_angle_gamma 90.00
_space_group_name_H-M_alt 'P 4/m m m'
_space_group_IT_number 123
_space_group_name_Hall '-P 4 2'
loop_
_atom_site_label
_atom_site_type_symbol
_atom_site_fract_x
_atom_site_fract_y
_atom_site_fract_z
Mo1 Mo 0.000 0.000 0.000
S1 S 0.000 0.500 0.000
I1 I 0.500 0.500 0.500
N1 N 0.000 0.000 0.500
# **Raw total energy**: -0.3992 Ry/atom
# **Density of states at the Fermi level**: 0.94 states/eV per atom
# **Energy above the lowest structure with this stoichiometry**: 0.000 eV per formula unit
# **M_tot**: 0.00 μB per formula unit
# **Raw formation energy**: 360 meV/atom